ErSeS2 | PBE | optimized geometry

Output
* formation energy without anion corrections: -0.944 eV/atom

Unit cell a=4.2736 b=4.2889 c=9.3267 alpha=90.00 beta=90.05 gamma=90.00
Last column: nearest neighbours and their distance in Å.
Sites, in units of the cell vectors:
Er 0.2493 0.2500 0.1968  4 S 2.82-2.83, 5 Se 2.88-3.13
Er 0.7507 0.7500 0.8032  4 S 2.82-2.83, 5 Se 2.88-3.13
Se 0.2498 0.2500 0.8875  5 Er 2.88-3.13
Se 0.7502 0.7500 0.1125  5 Er 2.88-3.13
S 0.2494 0.7500 0.3944  1 S 1.97
S 0.2504 0.7500 0.6054  1 S 1.97
S 0.7496 0.2500 0.3946  1 S 1.97
S 0.7506 0.2500 0.6056  1 S 1.97



ScPSe | PBE | optimized geometry

Output
* formation energy without anion corrections: -0.862 eV/atom

Unit cell a=5.5664 b=5.5664 c=5.5664 alpha=142.49 beta=142.49 gamma=54.09
Last column: nearest neighbours and their distance in Å.
Sites, in units of the cell vectors:
Sc 0.0000 0.0000 0.0000  4 P 2.69, 4 Se 2.92
P 0.4090 0.4090 0.0000  1 Se 2.37
Se 0.6478 0.6478 0.0000  1 P 2.37



ZnInCl3 | PBE | optimized geometry

Output
* polymorph energy (0 for the lowest one): 7 meV per atom
* formation energy without anion corrections: -1.018 eV/atom

Unit cell a=6.7420 b=6.7420 c=7.2812 alpha=102.55 beta=102.55 gamma=80.51
Last column: nearest neighbours and their distance in Å.
Sites, in units of the cell vectors:
Zn 0.0753 0.9247 0.5000  4 Cl 2.26-2.36
Zn 0.9247 0.0753 0.0000  4 Cl 2.26-2.36
In 0.4650 0.7473 0.9937  4 Cl 3.00-3.24
In 0.7473 0.4650 0.4937  4 Cl 3.00-3.24
Cl 0.1084 0.1580 0.7953  2 Zn 2.34-2.36
Cl 0.1580 0.1084 0.2953  2 Zn 2.34-2.36
Cl 0.2940 0.6382 0.5358  1 Zn 2.26
Cl 0.6382 0.2940 0.0358  1 Zn 2.26
Cl 0.7381 0.8826 0.4095  1 Zn 2.27
Cl 0.8826 0.7381 0.9095  1 Zn 2.27



TmAl2Zn | PBE | optimized geometry

Output
* energy of formation from the pure elements: -0.214 eV per atom

Unit cell a=5.3669 b=5.3669 c=3.1904 alpha=90.00 beta=90.00 gamma=119.23
Last column: nearest neighbours and their distance in Å.
Sites, in units of the cell vectors:
Tm 0.0000 0.0000 0.0000  8 Al 3.12, 4 Zn 3.15, 2 Tm 3.19
Al 0.0000 0.5000 0.5000  2 Zn 2.68, 2 Al 2.71
Al 0.5000 0.0000 0.5000  2 Zn 2.68, 2 Al 2.71
Zn 0.5000 0.5000 0.5000  4 Al 2.68



AlPH3 | PBE | optimized geometry

Output
* polymorph energy (0 for the lowest one): 0 meV per atom

Unit cell a=3.5727 b=3.5727 c=3.5727 alpha=90.00 beta=90.00 gamma=90.00
Last column: nearest neighbours and their distance in Å.
Sites, in units of the cell vectors:
Al 0.0000 0.0000 0.0000  12 H 2.53
P 0.5000 0.5000 0.5000  6 H 1.79
H 0.0000 0.5000 0.5000  2 P 1.79
H 0.5000 0.0000 0.5000  2 P 1.79
H 0.5000 0.5000 0.0000  2 P 1.79



ZnCd3Cl8 | PBE | optimized geometry

Output
* formation energy without anion corrections: -1.078 eV/atom

Unit cell a=7.6553 b=7.6553 c=7.8000 alpha=119.81 beta=119.81 gamma=59.94
Last column: nearest neighbours and their distance in Å.
Sites, in units of the cell vectors:
Zn 0.0000 0.0000 0.0000  6 Cl 2.52
Cd 0.0000 0.5000 0.0000  6 Cl 2.65-2.68
Cd 0.5000 0.0000 0.0000  6 Cl 2.65-2.68
Cd 0.5000 0.5000 0.0000  6 Cl 2.65-2.67
Cl 0.2323 0.2323 0.2211  1 Zn 2.52, 2 Cd 2.67
Cl 0.2322 0.7593 0.2209  1 Zn 2.52, 2 Cd 2.67-2.68
Cl 0.2407 0.7678 0.7791  1 Zn 2.52, 2 Cd 2.67-2.68
Cl 0.2559 0.2559 0.7709  3 Cd 2.65
Cl 0.7441 0.7441 0.2291  3 Cd 2.65
Cl 0.7593 0.2322 0.2209  1 Zn 2.52, 2 Cd 2.67-2.68
Cl 0.7678 0.2407 0.7791  1 Zn 2.52, 2 Cd 2.67-2.68
Cl 0.7677 0.7677 0.7789  1 Zn 2.52, 2 Cd 2.67



MnCr2Mo | PBE | optimized geometry

Output
* polymorph energy (0 for the lowest one): 271 meV per atom
* energy of formation from the pure elements: 0.359 eV per atom

Unit cell a=8.2558 b=8.2558 c=8.2558 alpha=19.01 beta=19.01 gamma=19.01
Last column: nearest neighbours and their distance in Å.
Sites, in units of the cell vectors:
Mn 0.0000 0.0000 0.0000  3 Cr 2.44, 3 Mo 2.72, 6 Mn 2.73
Cr 0.4841 0.4841 0.4841  3 Cr 2.39
Cr 0.7434 0.7434 0.7434  3 Cr 2.39, 3 Mn 2.44
Mo 0.2423 0.2423 0.2423  3 Mn 2.72, 3 Cr 2.73, 6 Mo 2.73



Cs2HfAuI6 | PBE | optimized geometry

Output
* formation energy without anion corrections: -0.903 eV/atom

Unit cell a=8.5430 b=8.5430 c=8.5430 alpha=117.39 beta=117.39 gamma=94.58
Last column: nearest neighbours and their distance in Å.
Sites, in units of the cell vectors:
Cs 0.2500 0.7500 0.5000  12 I 4.28-4.44
Cs 0.7500 0.2500 0.5000  12 I 4.28-4.44
Hf 0.0000 0.0000 0.0000  6 I 2.86-2.92
Au 0.5000 0.5000 0.0000  2 I 2.87
I 0.2282 0.2282 0.4564  1 Hf 2.86
I 0.2282 0.7718 0.0000  1 Hf 2.86
I 0.2522 0.2522 0.0000  1 Au 2.87, 1 Hf 2.92
I 0.7478 0.7478 0.0000  1 Au 2.87, 1 Hf 2.92
I 0.7718 0.2282 0.0000  1 Hf 2.86
I 0.7718 0.7718 0.5436  1 Hf 2.86



Let's list final energy in order: -5.02, -5.94, -2.93, -3.52, -3.25, -2.64, -9.45, -3.33 eV/atom.